Entry 1:
A relaxed structure of GaReTeRh2, computed with PBEsol.

Geometry as CIF:
```
data_GaReTeRh2
_space_group_name_H-M_alt 'P 4/m m m'
_space_group_IT_number 123
_space_group_name_Hall '-P 4 2'
_cell_length_a 4.4673
_cell_length_b 4.4673
_cell_length_c 4.6157
_cell_angle_alpha 90.00
_cell_angle_beta 90.00
_cell_angle_gamma 90.00
loop_
_atom_site_label
_atom_site_type_symbol
_atom_site_fract_x
_atom_site_fract_y
_atom_site_fract_z
Ga1 Ga 0.0000 0.0000 0.0000
Re1 Re 0.0000 0.0000 0.5000
Te1 Te 0.5000 0.5000 0.5000
Rh1 Rh 0.0000 0.5000 0.0000
```

Output
Fermi-level density of states: 7.5 states/eV/f.u.
E_form (uncorrected): 1.13 eV/atom
Final energy: -30.81 eV per cell

***

Entry 2:
A relaxed structure of Ga2ReRhW, computed with PBEsol.

Geometry as CIF:
```
data_Ga2ReRhW
_space_group_name_H-M_alt 'P 4/m m m'
_space_group_IT_number 123
_space_group_name_Hall '-P 4 2'
_cell_length_a 4.6920
_cell_length_b 4.6920
_cell_length_c 4.6099
_cell_angle_alpha 90.00
_cell_angle_beta 90.00
_cell_angle_gamma 90.00
loop_
_atom_site_label
_atom_site_type_symbol
_atom_site_fract_x
_atom_site_fract_y
_atom_site_fract_z
Ga1 Ga 0.0000 0.5000 0.0000
Re1 Re 0.0000 0.0000 0.5000
Rh1 Rh 0.5000 0.5000 0.5000
W1 W 0.5000 0.5000 0.0000
```

Output
Fermi-level density of states: 3.8 states/eV/f.u.
Final energy: -32.70 eV per cell
Energy relative to the elements: 1852 meV per atom

***

Entry 3:
A relaxed structure of TlGaRe2Ru, computed with PBEsol.

Geometry as CIF:
```
data_TlGaRe2Ru
_space_group_name_H-M_alt 'P 4/m m m'
_space_group_IT_number 123
_space_group_name_Hall '-P 4 2'
_cell_length_a 4.9001
_cell_length_b 4.9001
_cell_length_c 4.8150
_cell_angle_alpha 90.00
_cell_angle_beta 90.00
_cell_angle_gamma 90.00
loop_
_atom_site_label
_atom_site_type_symbol
_atom_site_fract_x
_atom_site_fract_y
_atom_site_fract_z
Tl1 Tl 0.0000 0.0000 0.0000
Ga1 Ga 0.5000 0.5000 0.5000
Re1 Re 0.0000 0.5000 0.0000
Ru1 Ru 0.0000 0.0000 0.5000
```

Output
Fermi-level density of states: 5.5 states/eV/f.u.
Final energy: -27.30 eV per cell
Energy relative to the elements: 3101 meV per atom

***

Entry 4:
A relaxed structure of GaRe2SiS, computed with PBEsol.

Geometry as CIF:
```
data_GaRe2SiS
_space_group_name_H-M_alt 'P 4/m m m'
_space_group_IT_number 123
_space_group_name_Hall '-P 4 2'
_cell_length_a 4.4831
_cell_length_b 4.4831
_cell_length_c 4.3703
_cell_angle_alpha 90.00
_cell_angle_beta 90.00
_cell_angle_gamma 90.00
loop_
_atom_site_label
_atom_site_type_symbol
_atom_site_fract_x
_atom_site_fract_y
_atom_site_fract_z
Ga1 Ga 0.0000 0.0000 0.0000
Re1 Re 0.0000 0.5000 0.5000
Si1 Si 0.0000 0.0000 0.5000
S1 S 0.5000 0.5000 0.0000
```

Output
Fermi-level density of states: 5.4 states/eV/f.u.
E_form (uncorrected): 1.52 eV/atom
Final energy: -32.53 eV per cell

***

Entry 5:
A relaxed structure of GaReSe2, computed with PBEsol.

Geometry as CIF:
```
data_GaReSe2
_space_group_name_H-M_alt 'R -3 m'
_space_group_IT_number 166
_space_group_name_Hall '-R 3 2"'
_cell_length_a 3.0932
_cell_length_b 3.0932
_cell_length_c 28.2444
_cell_angle_alpha 90.00
_cell_angle_beta 90.00
_cell_angle_gamma 120.00
loop_
_atom_site_label
_atom_site_type_symbol
_atom_site_fract_x
_atom_site_fract_y
_atom_site_fract_z
Ga1 Ga 0.0000 0.0000 0.0000
Re1 Re 0.0000 0.0000 0.5000
Se1 Se 0.0000 0.0000 0.1029
```

Output
Fermi-level density of states: 1.6 states/eV/f.u.
E_form (uncorrected): 0.04 eV/atom
Final energy: -72.69 eV per cell

***

Entry 6:
A relaxed structure of GaReSn3, computed with PBEsol.

Geometry as CIF:
```
data_GaReSn3
_space_group_name_H-M_alt 'P m -3 m'
_space_group_IT_number 221
_space_group_name_Hall '-P 4 2 3'
_cell_length_a 5.0732
_cell_length_b 5.0732
_cell_length_c 5.0732
_cell_angle_alpha 90.00
_cell_angle_beta 90.00
_cell_angle_gamma 90.00
loop_
_atom_site_label
_atom_site_type_symbol
_atom_site_fract_x
_atom_site_fract_y
_atom_site_fract_z
Ga1 Ga 0.0000 0.0000 0.0000
Re1 Re 0.5000 0.5000 0.5000
Sn1 Sn 0.0000 0.0000 0.5000
```

Output
Fermi-level density of states: 4.1 states/eV/f.u.
Final energy: -21.94 eV per cell
Energy relative to the elements: 1501 meV per atom

***

> final energy of number 5 (GaReSe2)?

-72.69 eV per cell

***

> What is the final energy in the first record?

-30.81 eV per cell